Here is a relaxed CsPt2Pb4 crystal from Alexandria. Energies are from PBE-GGA.

```
data_CsPt2Pb4
_symmetry_space_group_name_H-M 'P 1'
_symmetry_Int_Tables_number 1
_symmetry_space_group_name_Hall 'P 1'
_cell_length_a 7.9735
_cell_length_b 7.9735
_cell_length_c 5.1791
_cell_angle_alpha 90.00
_cell_angle_beta 90.00
_cell_angle_gamma 141.84
loop_
_atom_site_label
_atom_site_fract_x
_atom_site_fract_y
_atom_site_fract_z
Cs1 0.0000 0.0000 0.0000
Pt1 0.4109 0.5891 0.5000
Pt2 0.5891 0.4109 0.5000
Pb1 0.1771 0.8229 0.5000
Pb2 0.3227 0.6773 0.0000
Pb3 0.6773 0.3227 0.0000
Pb4 0.8229 0.1771 0.5000
```

Output
Formation energy from the elements: -0.06 eV per atom
Symmetry: Cmmm (65)
Crystal system: orthorhombic
Total energy: -4.031 eV/atom